Computed, not measured: a relaxed structure of Li2DyTm at the PBE level of DFT.

Calculated values
The value obtained for the density of states at the Fermi level is 3.58 states/eV/f.u. Its symmetry is P4/mmm, No. 123. The spin magnetization comes out at 0.0 μB per cell. The value obtained for the energy is -3.07 eV/atom. The formation energy comes out at 0.1576 eV/atom.

a = 3.6797 Å, b = 3.6797 Å, c = 7.3656 Å
α = 90.00°, β = 90.00°, γ = 90.00°
Last column: nearest neighbours and their distance in Å.
Fractional coordinates of all 4 atoms:
Tm 0.5000 0.5000 0.5000  8 Li 3.18
Li 0.0000 0.0000 0.7482  4 Tm 3.18, 4 Dy 3.20
Li 0.0000 0.0000 0.2518  4 Tm 3.18, 4 Dy 3.20
Dy 0.5000 0.5000 0.0000  8 Li 3.20